{"formula": "SrMo3I", "functional": "meta-GGA SCAN", "state": "PBEsol geometry", "e_tot_ev_per_atom": -30.9596, "crystal_system": "cubic", "lattice": [[4.936, 0.000, 0.000], [0.000, 4.936, 0.000], [0.000, 0.000, 4.936]], "species": ["Sr", "Mo", "Mo", "Mo", "I"], "frac_coords": [[0.000, 0.000, 0.000], [0.000, 0.500, 0.500], [0.500, 0.000, 0.500], [0.500, 0.500, 0.000], [0.500, 0.500, 0.500]]}